Crystalline SrTcPO2 at its relaxed geometry. Source: Alexandria via LeMat-Bulk, functional PBE.

abc: 4.048 4.048 4.773
angles: 90.00 90.00 90.00
Space group P4/mmm (No. 123)
Inequivalent atoms, fractional coordinates:
Sr  0.000  0.000  0.000 (multiplicity 1)
Tc  0.500  0.500  0.500 (multiplicity 1)
P  0.500  0.500  0.000 (multiplicity 1)
O  0.000  0.500  0.500 (multiplicity 2)

Properties
Excess energy over the best structure of this formula in the dataset, kJ per mole of atoms: 0.0
Uncorrected formation energy, eV per atom: -1.1353

***

Crystalline SrTcP2O8 at its relaxed geometry. Source: Alexandria via LeMat-Bulk, functional PBE.

abc: 4.8447 4.8447 23.3370
angles: 90.00 90.00 120.00
Space group R32 (No. 155, hexagonal axes)
Inequivalent atoms, fractional coordinates:
Sr  0.0000  0.0000  0.0000 (multiplicity 3)
Tc  0.0000  0.0000  0.5000 (multiplicity 3)
P  0.0000  0.0000  0.2450 (multiplicity 6)
O  0.0000  0.0000  0.3105 (multiplicity 6)
O  0.0094  0.3886  0.8903 (multiplicity 18)

Properties
Uncorrected formation energy, eV per atom: -2.1091

***

Crystalline SrTcP2O at its relaxed geometry. Source: Alexandria via LeMat-Bulk, functional PBE.

abc: 4.887 4.887 3.855
angles: 90.00 90.00 90.00
Space group P4/mmm (No. 123)
Inequivalent atoms, fractional coordinates:
Sr  0.000  0.000  0.000 (multiplicity 1)
Tc  0.500  0.500  0.500 (multiplicity 1)
P  0.000  0.500  0.500 (multiplicity 2)
O  0.500  0.500  0.000 (multiplicity 1)

Properties
Excess energy over the best structure of this formula in the dataset, kJ per mole of atoms: 0.0
Uncorrected formation energy, eV per atom: -0.6408

***

Crystalline SrTcPO2 at its relaxed geometry. Source: Alexandria via LeMat-Bulk, functional PBE.

abc: 4.240 4.240 6.216
angles: 90.00 90.00 90.00
Space group P4/mmm (No. 123)
Inequivalent atoms, fractional coordinates:
Sr  0.000  0.000  0.000 (multiplicity 1)
Tc  0.500  0.500  0.500 (multiplicity 1)
P  0.000  0.000  0.500 (multiplicity 1)
O  0.000  0.500  0.000 (multiplicity 2)

Properties
Excess energy over the best structure of this formula in the dataset, kJ per mole of atoms: 169.2
Uncorrected formation energy, eV per atom: 0.6182

***

Crystalline SrTcP2O at its relaxed geometry. Source: Alexandria via LeMat-Bulk, functional PBE.

abc: 5.490 5.490 4.209
angles: 90.00 90.00 90.00
Space group P4/mmm (No. 123)
Inequivalent atoms, fractional coordinates:
Sr  0.000  0.000  0.000 (multiplicity 1)
Tc  0.500  0.500  0.500 (multiplicity 1)
P  0.000  0.500  0.000 (multiplicity 2)
O  0.000  0.000  0.500 (multiplicity 1)

Properties
Excess energy over the best structure of this formula in the dataset, kJ per mole of atoms: 185.1
Uncorrected formation energy, eV per atom: 1.2775

***

Crystalline SrTePO2 at its relaxed geometry. Source: Alexandria via LeMat-Bulk, functional PBE.

abc: 4.254 4.254 5.103
angles: 90.00 90.00 90.00
Space group P4/mmm (No. 123)
Inequivalent atoms, fractional coordinates:
Sr  0.000  0.000  0.000 (multiplicity 1)
Te  0.500  0.500  0.500 (multiplicity 1)
P  0.500  0.500  0.000 (multiplicity 1)
O  0.000  0.500  0.500 (multiplicity 2)

Properties
Excess energy over the best structure of this formula in the dataset, kJ per mole of atoms: 0.0
Uncorrected formation energy, eV per atom: -0.8836

***

Crystalline SrTe2PO8 at its relaxed geometry. Source: Alexandria via LeMat-Bulk, functional PBE.

abc: 12.810 4.979 5.448
angles: 90.00 111.21 90.00
Space group C2/m (No. 12)
Inequivalent atoms, fractional coordinates:
Sr  0.000  0.000  0.000 (multiplicity 2)
Te  0.210  0.000  0.688 (multiplicity 4)
P  0.000  0.500  0.500 (multiplicity 2)
O  0.060  0.500  0.282 (multiplicity 4)
O  0.094  0.254  0.699 (multiplicity 8)
O  0.196  0.000  0.333 (multiplicity 4)

Properties
Uncorrected formation energy, eV per atom: -1.4419

***

Crystalline SrTePO2 at its relaxed geometry. Source: Alexandria via LeMat-Bulk, functional PBE.

abc: 4.387 4.387 6.912
angles: 90.00 90.00 90.00
Space group P4/mmm (No. 123)
Inequivalent atoms, fractional coordinates:
Sr  0.000  0.000  0.000 (multiplicity 1)
Te  0.500  0.500  0.500 (multiplicity 1)
P  0.000  0.000  0.500 (multiplicity 1)
O  0.000  0.500  0.000 (multiplicity 2)

Properties
Excess energy over the best structure of this formula in the dataset, kJ per mole of atoms: 90.7
Uncorrected formation energy, eV per atom: 0.0566